1.
# Hf2CS (PBEsol, relaxed)
# Formation energy (no corrections)   -0.7489 eV/atom
# Offset from the most stable computed form   0.708 eV per atom
# Crystal system   tetragonal
data_Hf2CS
_chemical_formula_sum 'Hf8 C4 S4'
_space_group_name_H-M_alt 'I -4 2 d'
_space_group_IT_number 122
_space_group_name_Hall 'I -4 2bw'
_cell_length_a 5.3551
_cell_length_b 5.3551
_cell_length_c 10.3043
_cell_angle_alpha 90.00
_cell_angle_beta 90.00
_cell_angle_gamma 90.00
loop_
_atom_site_label
_atom_site_fract_x
_atom_site_fract_y
_atom_site_fract_z
_atom_site_occupancy
Hf1 0.1953 0.2500 0.1250 1
C1 0.0000 0.0000 0.0000 1
S1 0.0000 0.0000 0.5000 1

2.
# Rb3TmS3O12 (PBEsol, relaxed)
# Formation energy (no corrections)   -2.0698 eV/atom
# Crystal system   monoclinic
data_Rb3TmS3O12
_chemical_formula_sum 'Rb12 Tm4 S12 O48'
_space_group_name_H-M_alt 'C 1 c 1'
_space_group_IT_number 9
_cell_length_a 10.6039
_cell_length_b 15.1900
_cell_length_c 9.2702
_cell_angle_alpha 90.00
_cell_angle_beta 124.82
_cell_angle_gamma 90.00
loop_
_space_group_symop_operation_xyz
'x,y,z'
'x,-y,z+1/2'
'x+1/2,y+1/2,z'
'x+1/2,-y+1/2,z+1/2'
loop_
_atom_site_label
_atom_site_fract_x
_atom_site_fract_y
_atom_site_fract_z
_atom_site_occupancy
Rb1 0.0000 0.0036 0.0000 1
Rb2 0.1990 0.3138 0.6647 1
Rb3 0.3959 0.2707 0.2629 1
Tm1 0.4541 0.0915 0.6469 1
S1 0.1034 0.1907 0.2830 1
S2 0.1326 0.4430 0.9969 1
S3 0.2819 0.1052 0.8835 1
O1 0.0577 0.2845 0.2869 1
O2 0.1058 0.4674 0.4190 1
O3 0.1108 0.1793 0.1307 1
O4 0.1168 0.1084 0.8083 1
O5 0.1906 0.4524 0.1868 1
O6 0.2398 0.3942 0.9755 1
O7 0.2603 0.1800 0.4505 1
O8 0.2985 0.0845 0.7365 1
O9 0.3543 0.0323 0.0156 1
O10 0.3607 0.1884 0.9671 1
O11 0.4835 0.1049 0.4175 1
O12 0.4949 0.3708 0.7794 1

3.
# Mg14MnCdO16 (PBEsol, relaxed)
# Formation energy (no corrections)   -2.5067 eV/atom
# Offset from the most stable computed form   0.000 eV per atom
# Crystal system   tetragonal
data_Mg14MnCdO16
_chemical_formula_sum 'Mg14 Mn1 Cd1 O16'
_space_group_name_H-M_alt 'P 4/m m m'
_space_group_IT_number 123
_space_group_name_Hall '-P 4 2'
_cell_length_a 8.5487
_cell_length_b 8.5487
_cell_length_c 4.2810
_cell_angle_alpha 90.00
_cell_angle_beta 90.00
_cell_angle_gamma 90.00
loop_
_atom_site_label
_atom_site_fract_x
_atom_site_fract_y
_atom_site_fract_z
_atom_site_occupancy
Mg1 0.0000 0.2510 0.0000 1
Mg2 0.0000 0.5000 0.5000 1
Mg3 0.2451 0.5000 0.0000 1
Mg4 0.2483 0.2483 0.5000 1
Mn1 0.0000 0.0000 0.5000 1
Cd1 0.5000 0.5000 0.5000 1
O1 0.0000 0.0000 0.0000 1
O2 0.0000 0.2541 0.5000 1
O3 0.0000 0.5000 0.0000 1
O4 0.2357 0.5000 0.5000 1
O5 0.2502 0.2502 0.0000 1
O6 0.5000 0.5000 0.0000 1

4.
# Si3C (PBEsol, relaxed)
# Formation energy (no corrections)   1.2500 eV/atom
# Offset from the most stable computed form   0.508 eV per atom
# Crystal system   tetragonal
data_Si3C
_chemical_formula_sum 'Si3 C1'
_space_group_name_H-M_alt 'P 4/m m m'
_space_group_IT_number 123
_space_group_name_Hall '-P 4 2'
_cell_length_a 3.9842
_cell_length_b 3.9842
_cell_length_c 2.9994
_cell_angle_alpha 90.00
_cell_angle_beta 90.00
_cell_angle_gamma 90.00
loop_
_atom_site_label
_atom_site_fract_x
_atom_site_fract_y
_atom_site_fract_z
_atom_site_occupancy
Si1 0.0000 0.0000 0.0000 1
Si2 0.0000 0.5000 0.5000 1
C1 0.5000 0.5000 0.0000 1

5.
# KMnBr2 (PBEsol, relaxed)
# Formation energy (no corrections)   -0.4655 eV/atom
# Offset from the most stable computed form   0.198 eV per atom
# Crystal system   tetragonal
data_KMnBr2
_chemical_formula_sum 'K1 Mn1 Br2'
_space_group_name_H-M_alt 'P 4/m m m'
_space_group_IT_number 123
_space_group_name_Hall '-P 4 2'
_cell_length_a 5.2894
_cell_length_b 5.2894
_cell_length_c 3.5392
_cell_angle_alpha 90.00
_cell_angle_beta 90.00
_cell_angle_gamma 90.00
loop_
_atom_site_label
_atom_site_fract_x
_atom_site_fract_y
_atom_site_fract_z
_atom_site_occupancy
K1 0.0000 0.0000 0.0000 1
Mn1 0.5000 0.5000 0.0000 1
Br1 0.0000 0.5000 0.5000 1

6.
# Nd5P12Ru19 (PBEsol, relaxed)
# Crystal system   hexagonal
# E_form   -31.06 eV per formula unit
data_Nd5P12Ru19
_chemical_formula_sum 'Nd5 P12 Ru19'
_space_group_name_H-M_alt 'P -6 2 m'
_space_group_IT_number 189
_space_group_name_Hall 'P -6 -2'
_cell_length_a 12.4845
_cell_length_b 12.4845
_cell_length_c 3.9523
_cell_angle_alpha 90.00
_cell_angle_beta 90.00
_cell_angle_gamma 120.00
loop_
_atom_site_label
_atom_site_fract_x
_atom_site_fract_y
_atom_site_fract_z
_atom_site_occupancy
Nd1 0.0000 0.8154 0.0000 1
Nd2 0.3333 0.6667 0.5000 1
P1 0.0000 0.1865 0.5000 1
P2 0.0000 0.6250 0.5000 1
P3 0.1704 0.4765 0.0000 1
Ru1 0.0000 0.0000 0.5000 1
Ru2 0.0000 0.2844 0.0000 1
Ru3 0.0000 0.4441 0.5000 1
Ru4 0.1238 0.6333 0.0000 1
Ru5 0.1844 0.3781 0.5000 1